1.
Dy5Y12Th: optimized geometry, PBE.

```
Dy5Y12Th
1.0
7.5600 -7.5734 0.0000
7.5600 7.5734 0.0000
0.0000 0.0000 5.0481
Dy Y Th
5 12 1
direct
0.0000 0.0000 0.0000
0.1663 0.8337 0.5000
0.3356 0.6644 0.0000
0.6644 0.3356 0.0000
0.8337 0.1663 0.5000
0.0011 0.6687 0.0000
0.1653 0.1653 0.5000
0.1682 0.5010 0.5000
0.3313 0.9989 0.0000
0.3360 0.3360 0.0000
0.4990 0.8318 0.5000
0.5010 0.1682 0.5000
0.6640 0.6640 0.0000
0.6687 0.0011 0.0000
0.8318 0.4990 0.5000
0.8347 0.8347 0.5000
0.9989 0.3313 0.0000
0.5000 0.5000 0.5000
```

Summary:
**Energy of formation from the pure elements**: 28 meV/atom
**D(E_F)**: 28.595 states/eV/f.u.
**Space-group type**: Cmmm, No. 65

2.
Dy2Y5Th4: optimized geometry, PBE.

```
Dy2Y5Th4
1.0
11.7430 -1.7927 0.0000
11.7430 1.7927 0.0000
-2.2112 0.0000 8.4190
Dy Y Th
2 5 4
direct
0.0884 0.0884 0.2162
0.9116 0.9116 0.7838
0.0000 0.0000 0.5000
0.2738 0.2738 0.6893
0.3630 0.3630 0.4037
0.6370 0.6370 0.5963
0.7262 0.7262 0.3107
0.1821 0.1821 0.9527
0.4535 0.4535 0.1356
0.5465 0.5465 0.8644
0.8179 0.8179 0.0473
```

Summary:
**Polymorph energy (0 for the lowest one)**: 0.00 eV per formula unit
**Energy of formation from the pure elements**: 24 meV/atom
**D(E_F)**: 16.450 states/eV/f.u.
**Space-group type**: C2/m, No. 12

3.
DyY3Th3: optimized geometry, PBE.

```
DyY3Th3
1.0
4.2683 2.4643 7.4876
-4.2683 2.4643 7.4876
0.0000 -4.9286 7.4876
Dy Y Th
2 6 6
direct
0.1622 0.1622 0.1622
0.8378 0.8378 0.8378
0.2166 0.6834 0.4242
0.3166 0.5758 0.7834
0.4242 0.2166 0.6834
0.5758 0.7834 0.3166
0.6834 0.4242 0.2166
0.7834 0.3166 0.5758
0.0815 0.5625 0.2302
0.2302 0.0815 0.5625
0.4375 0.7698 0.9185
0.5625 0.2302 0.0815
0.7698 0.9185 0.4375
0.9185 0.4375 0.7698
```

Summary:
**Energy of formation from the pure elements**: 277 meV/atom
**D(E_F)**: 9.839 states/eV/f.u.
**Space-group type**: R-3, No. 148

4.
Dy4YTh2: optimized geometry, PBE.

```
Dy4YTh2
1.0
3.5715 0.0000 0.0000
1.7841 7.7267 0.0000
0.0101 3.2965 8.0884
Dy Y Th
4 1 2
direct
0.0760 0.3481 0.2174
0.3554 0.7910 0.0709
0.6446 0.2090 0.9291
0.9240 0.6519 0.7826
0.5000 0.5000 0.5000
0.2153 0.0696 0.6411
0.7847 0.9304 0.3589
```

Summary:
**Polymorph energy (0 for the lowest one)**: 0.00 eV per formula unit
**Energy of formation from the pure elements**: 28 meV/atom
**D(E_F)**: 9.513 states/eV/f.u.
**Space-group type**: P-1, No. 2

5.
Dy7YTh3: optimized geometry, PBE.

```
Dy7YTh3
1.0
7.0716 0.0000 0.0000
-3.5358 6.1242 0.0000
0.0000 0.0000 8.5328
Dy Y Th
7 1 3
direct
0.0000 0.0000 0.0000
0.1653 0.3307 0.3406
0.1653 0.8347 0.3406
0.5011 0.0022 0.0025
0.5011 0.4989 0.0025
0.6693 0.8347 0.3406
0.9978 0.4989 0.0025
0.6667 0.3333 0.3435
0.3331 0.1666 0.6723
0.8334 0.1666 0.6723
0.8334 0.6669 0.6723
```

Summary:
**Polymorph energy (0 for the lowest one)**: 0.65 eV per formula unit
**Energy of formation from the pure elements**: 211 meV/atom
**D(E_F)**: 15.388 states/eV/f.u.
**Space-group type**: P3m1, No. 156

6.
Dy3Y4Th2: optimized geometry, PBE.

```
Dy3Y4Th2
1.0
3.5676 0.0000 0.0000
-1.7838 3.0897 0.0000
0.0000 0.0000 26.4931
Dy Y Th
3 4 2
direct
0.0000 0.0000 0.0000
0.0000 0.0000 0.3448
0.6667 0.3333 0.6697
0.0000 0.0000 0.5620
0.0000 0.0000 0.7788
0.6667 0.3333 0.2385
0.6667 0.3333 0.4534
0.6667 0.3333 0.1098
0.6667 0.3333 0.8890
```

Summary:
**Polymorph energy (0 for the lowest one)**: 0.41 eV per formula unit
**Energy of formation from the pure elements**: 70 meV/atom
**D(E_F)**: 17.166 states/eV/f.u.
**Space-group type**: P3m1, No. 156

7.
Dy2Y5Th2: optimized geometry, PBE.

```
Dy2Y5Th2
1.0
-7.4475 5.9520 3.3302
7.4475 -5.9520 3.3302
7.4475 5.9520 -3.3302
Dy Y Th
4 10 4
direct
0.0027 0.1252 0.1279
0.0027 0.3748 0.3776
0.9973 0.6252 0.6224
0.9973 0.8748 0.8721
0.0960 0.3922 0.8109
0.0960 0.7851 0.2038
0.3754 0.8964 0.9790
0.4204 0.2885 0.4181
0.4204 0.5024 0.6319
0.5813 0.2851 0.1891
0.5813 0.8922 0.7962
0.8705 0.0024 0.5819
0.8705 0.7885 0.3681
0.9174 0.3964 0.0210
0.4682 0.7201 0.2481
0.4720 0.2201 0.7519
0.5355 0.0355 0.5000
0.5355 0.5355 0.0000
```

Summary:
**Polymorph energy (0 for the lowest one)**: 0.00 eV per formula unit
**Energy of formation from the pure elements**: 261 meV/atom
**D(E_F)**: 14.476 states/eV/f.u.
**Space-group type**: Ima2, No. 46

8.
Dy8Y3Th3: optimized geometry, PBE.

```
Dy8Y3Th3
1.0
-2.8308 5.3520 7.4605
2.8308 -5.3520 7.4605
2.8308 5.3520 -7.4605
Dy Y Th
8 3 3
direct
0.0569 0.3971 0.6598
0.0659 0.2242 0.8417
0.2627 0.6029 0.6598
0.3825 0.2242 0.1583
0.6175 0.7758 0.8417
0.7373 0.3971 0.3402
0.9341 0.7758 0.1583
0.9431 0.6029 0.3402
0.0000 0.0000 0.0000
0.3085 0.0000 0.3085
0.6915 0.0000 0.6915
0.3136 0.8136 0.5000
0.5000 0.5000 0.0000
0.6864 0.1864 0.5000
```

Summary:
**Energy of formation from the pure elements**: 159 meV/atom
**D(E_F)**: 22.235 states/eV/f.u.
**Space-group type**: Immm, No. 71

9.
Dy3Y8Th: optimized geometry, PBE.

```
Dy3Y8Th
1.0
-5.4561 5.6836 3.1533
5.4561 -5.6836 3.1533
5.4561 5.6836 -3.1533
Dy Y Th
3 8 1
direct
0.0000 0.0000 0.0000
0.0754 0.3250 0.7504
0.5745 0.3250 0.2496
0.0008 0.3363 0.3355
0.0008 0.6652 0.6645
0.0855 0.6726 0.0866
0.0855 0.9989 0.4130
0.4978 0.3308 0.8330
0.4978 0.6649 0.1670
0.5859 0.6726 0.5870
0.5859 0.9989 0.9134
0.5017 0.0017 0.5000
```

Summary:
**Energy of formation from the pure elements**: 16 meV/atom
**D(E_F)**: 22.692 states/eV/f.u.
**Space-group type**: Imm2, No. 44

10.
Dy4YTh: optimized geometry, PBE.

```
Dy4YTh
1.0
4.3811 -7.2703 0.0000
4.3811 7.2703 0.0000
-2.3315 0.0000 6.2119
Dy Y Th
8 2 2
direct
0.1010 0.7152 0.9651
0.1723 0.4252 0.6246
0.2848 0.8990 0.5349
0.4252 0.1723 0.1246
0.5748 0.8277 0.8754
0.7152 0.1010 0.4651
0.8277 0.5748 0.3754
0.8990 0.2848 0.0349
0.4116 0.5884 0.2500
0.5884 0.4116 0.7500
0.0002 0.9998 0.2500
0.9998 0.0002 0.7500
```

Summary:
**Polymorph energy (0 for the lowest one)**: 0.84 eV per formula unit
**Energy of formation from the pure elements**: 157 meV/atom
**D(E_F)**: 9.670 states/eV/f.u.
**Space-group type**: C2/c, No. 15

11.
Dy12Y5Th2: optimized geometry, PBE.

```
Dy12Y5Th2
1.0
6.0894 0.0000 0.0000
0.1705 9.6224 0.0000
1.5296 3.8455 10.5053
Dy Y Th
12 5 2
direct
0.0380 0.1886 0.1534
0.0756 0.8123 0.5445
0.1760 0.8220 0.2245
0.3778 0.4117 0.2851
0.4236 0.3147 0.6007
0.4292 0.6877 0.9852
0.5708 0.3123 0.0148
0.5764 0.6853 0.3993
0.6222 0.5883 0.7149
0.8240 0.1780 0.7755
0.9244 0.1877 0.4555
0.9620 0.8114 0.8466
0.0000 0.5000 0.5000
0.1087 0.4564 0.8414
0.4969 0.0523 0.3317
0.5031 0.9477 0.6683
0.8913 0.5436 0.1586
0.2759 0.0664 0.9195
0.7241 0.9336 0.0805
```

Summary:
**Polymorph energy (0 for the lowest one)**: 0.00 eV per formula unit
**Energy of formation from the pure elements**: 119 meV/atom
**D(E_F)**: 31.180 states/eV/f.u.
**Space-group type**: P-1, No. 2

12.
DyYTh: optimized geometry, PBE.

```
DyYTh
1.0
4.9027 0.0000 0.0000
0.0000 4.9027 0.0000
0.0000 0.0000 8.5125
Dy Y Th
2 2 2
direct
0.2500 0.2500 0.2165
0.7500 0.7500 0.7835
0.2500 0.2500 0.8029
0.7500 0.7500 0.1971
0.2500 0.7500 0.5000
0.7500 0.2500 0.5000
```

Summary:
**Polymorph energy (0 for the lowest one)**: 0.55 eV per formula unit
**Energy of formation from the pure elements**: 205 meV/atom
**D(E_F)**: 3.618 states/eV/f.u.
**Space-group type**: P4/nmm, No. 129

13.
Dy3YTh: optimized geometry, PBE.

```
Dy3YTh
1.0
3.0376 1.7537 11.0989
-3.0376 1.7537 11.0989
0.0000 -3.5075 11.0989
Dy Y Th
6 2 2
direct
0.0852 0.7476 0.4141
0.2524 0.5859 0.9148
0.4141 0.0852 0.7476
0.5859 0.9148 0.2524
0.7476 0.4141 0.0852
0.9148 0.2524 0.5859
0.1664 0.1664 0.1664
0.8336 0.8336 0.8336
0.3339 0.3339 0.3339
0.6661 0.6661 0.6661
```

Summary:
**Polymorph energy (0 for the lowest one)**: 1.05 eV per formula unit
**Energy of formation from the pure elements**: 401 meV/atom
**D(E_F)**: 7.962 states/eV/f.u.
**Space-group type**: R-3, No. 148

14.
Dy4Y3Th5: optimized geometry, PBE.

```
Dy4Y3Th5
1.0
6.2598 -2.9190 0.0000
6.2598 2.9190 0.0000
-1.7278 0.0000 10.9939
Dy Y Th
4 3 5
direct
0.1444 0.1444 0.2778
0.2432 0.2432 0.8953
0.7568 0.7568 0.1047
0.8556 0.8556 0.7222
0.0000 0.0000 0.0000
0.4169 0.4169 0.2433
0.5831 0.5831 0.7567
0.1128 0.1128 0.5922
0.3558 0.3558 0.5380
0.5000 0.5000 0.0000
0.6442 0.6442 0.4620
0.8872 0.8872 0.4078
```

Summary:
**Energy of formation from the pure elements**: 348 meV/atom
**D(E_F)**: 18.780 states/eV/f.u.
**Space-group type**: C2/m, No. 12

15.
Dy4Y3Th: optimized geometry, PBE.

```
Dy4Y3Th
1.0
11.6882 -1.7237 0.0000
11.6882 1.7237 0.0000
-1.9428 0.0000 6.4623
Dy Y Th
4 3 1
direct
0.1238 0.1238 0.3638
0.2585 0.2585 0.7551
0.7415 0.7415 0.2449
0.8762 0.8762 0.6362
0.0000 0.0000 0.5000
0.1249 0.1249 0.8855
0.8751 0.8751 0.1145
0.5000 0.5000 0.0000
```

Summary:
**Polymorph energy (0 for the lowest one)**: 0.00 eV per formula unit
**Energy of formation from the pure elements**: 175 meV/atom
**D(E_F)**: 14.052 states/eV/f.u.
**Space-group type**: C2/m, No. 12

16.
Dy7Y2Th2: optimized geometry, PBE.

```
Dy7Y2Th2
1.0
5.5762 -5.7030 0.0000
5.5762 5.7030 0.0000
-2.4327 0.0000 5.6102
Dy Y Th
7 2 2
direct
0.0000 0.0000 0.0000
0.0634 0.5890 0.8294
0.2396 0.2396 0.5806
0.4110 0.9366 0.1706
0.5890 0.0634 0.8294
0.7604 0.7604 0.4194
0.9366 0.4110 0.1706
0.2153 0.7847 0.5000
0.7847 0.2153 0.5000
0.4167 0.4167 0.1918
0.5833 0.5833 0.8082
```

Summary:
**Polymorph energy (0 for the lowest one)**: 0.00 eV per formula unit
**Energy of formation from the pure elements**: 179 meV/atom
**D(E_F)**: 17.221 states/eV/f.u.
**Space-group type**: C2/m, No. 12

17.
Dy3YTh3: optimized geometry, PBE.

```
Dy3YTh3
1.0
9.5066 0.0000 0.0000
-4.7533 8.2330 0.0000
0.0000 0.0000 5.8060
Dy Y Th
6 2 6
direct
0.0426 0.2382 0.2500
0.1956 0.9574 0.2500
0.2382 0.1956 0.7500
0.7618 0.8044 0.2500
0.8044 0.0426 0.7500
0.9574 0.7618 0.7500
0.3333 0.6667 0.2500
0.6667 0.3333 0.7500
0.1033 0.4858 0.7500
0.3826 0.8967 0.7500
0.4858 0.3826 0.2500
0.5142 0.6175 0.7500
0.6175 0.1033 0.2500
0.8967 0.5142 0.2500
```

Summary:
**Polymorph energy (0 for the lowest one)**: 0.09 eV per formula unit
**Energy of formation from the pure elements**: 53 meV/atom
**D(E_F)**: 10.763 states/eV/f.u.
**Space-group type**: P6_3/m, No. 176

18.
DyY5Th: optimized geometry, PBE.

```
DyY5Th
1.0
3.0773 -8.7945 0.0000
3.0773 8.7945 0.0000
-1.7840 0.0000 8.5400
Dy Y Th
2 10 2
direct
0.0130 0.9870 0.7500
0.9870 0.0130 0.2500
0.0395 0.7306 0.0382
0.1132 0.4856 0.3540
0.2694 0.9605 0.4618
0.3529 0.6471 0.7500
0.4856 0.1132 0.8540
0.5144 0.8868 0.1460
0.6471 0.3529 0.2500
0.7306 0.0395 0.5382
0.8868 0.5144 0.6460
0.9605 0.2694 0.9618
0.5000 0.5000 0.0000
0.5000 0.5000 0.5000
```

Summary:
**Energy of formation from the pure elements**: 205 meV/atom
**D(E_F)**: 12.534 states/eV/f.u.
**Space-group type**: C2/c, No. 15

19.
DyY2Th4: optimized geometry, PBE.

```
DyY2Th4
1.0
9.2678 0.0000 0.0000
0.0000 9.2678 0.0000
0.0000 0.0000 5.6447
Dy Y Th
2 4 8
direct
0.0000 0.0000 0.0000
0.5000 0.5000 0.5000
0.1763 0.1763 0.5000
0.3237 0.6763 0.0000
0.6763 0.3237 0.0000
0.8237 0.8237 0.5000
0.1122 0.3723 0.0000
0.1277 0.6122 0.5000
0.3723 0.1122 0.0000
0.3878 0.8723 0.5000
0.6122 0.1277 0.5000
0.6277 0.8878 0.0000
0.8723 0.3878 0.5000
0.8878 0.6277 0.0000
```

Summary:
**Energy of formation from the pure elements**: 330 meV/atom
**D(E_F)**: 11.559 states/eV/f.u.
**Space-group type**: P4_2/mnm, No. 136

20.
Dy5Y5Th: optimized geometry, PBE.

```
Dy5Y5Th
1.0
6.0693 0.0000 0.0000
-3.0346 5.2561 0.0000
0.0000 0.0000 11.5097
Dy Y Th
5 5 1
direct
0.0000 0.0000 0.2358
0.0000 0.0000 0.7642
0.3355 0.1678 0.0000
0.8322 0.1678 0.0000
0.8322 0.6645 0.0000
0.0000 0.0000 0.5000
0.3333 0.6667 0.1755
0.3333 0.6667 0.8245
0.6667 0.3333 0.3454
0.6667 0.3333 0.6546
0.3333 0.6667 0.5000
```

Summary:
**Energy of formation from the pure elements**: 334 meV/atom
**D(E_F)**: 19.537 states/eV/f.u.
**Space-group type**: P-6m2, No. 187

no.,magnetic moment (Bohr magnetons per cell),theoretical density (g/cm3),total energy (eV/cell)
1,0.0,6.065,-107.5
2,0.0,7.953,-70.9
3,0.0,7.909,-88.6
4,0.0,8.950,-39.5
5,0.0,8.639,-58.6
6,0.3,7.433,-53.9
7,0.0,6.938,-108.0
8,0.0,8.311,-76.2
9,0.0,6.074,-72.7
10,0.0,8.149,-62.7
11,0.0,7.712,-100.1
12,0.0,7.847,-35.7
13,0.0,7.568,-51.4
14,0.0,8.584,-70.7
15,0.0,7.326,-43.8
16,0.0,8.281,-58.0
17,0.0,9.300,-84.3
18,0.0,6.028,-85.8
19,0.0,8.689,-89.8
20,0.0,6.734,-59.1